Record 1
! InTc (GGA-PBE, relaxed); values from VASP
! symmetry: P4/nmm
! energy of formation from the pure elements: 0.1142 eV/atom
! calculated total energy: -6.44 eV/atom
! calculated volume: 18.970 Å³ per atom
&SYSTEM
  ibrav = 0, nat = 4, ntyp = 2
/
ATOMIC_SPECIES
In 114.82 In.upf
Tc 98.00 Tc.upf
CELL_PARAMETERS angstrom
3.026 0.000 0.000
0.000 3.026 0.000
0.000 0.000 8.289
ATOMIC_POSITIONS angstrom
In 0.756 0.756 1.384
In 2.269 2.269 6.905
Tc 0.756 0.756 4.857
Tc 2.269 2.269 3.432



Record 2
! Rb2U3Se6 (GGA-PBE, relaxed); values from VASP
! symmetry: C2/m
! E_form (uncorrected): -1.243 eV/atom
! calculated total energy: -6.40 eV/atom
! calculated volume: 33.977 Å³ per atom
&SYSTEM
  ibrav = 0, nat = 11, ntyp = 3
/
ATOMIC_SPECIES
Rb 85.47 Rb.upf
U 238.03 U.upf
Se 78.96 Se.upf
CELL_PARAMETERS angstrom
3.615 -6.261 0.000
3.615 6.261 0.000
-2.411 0.000 8.256
ATOMIC_POSITIONS angstrom
Rb 3.615 4.174 0.000
Rb 3.615 -4.174 0.000
U -1.205 0.000 4.128
U 2.410 2.081 4.128
U 2.410 -2.081 4.128
Se -0.001 2.088 5.726
Se 1.203 0.000 2.528
Se -0.001 -2.088 5.726
Se 4.820 2.088 2.530
Se 3.616 0.000 5.728
Se 4.820 -2.088 2.530